VASP calculation (GGA-PBE) on a relaxed PmSmDyZn crystal.

- Offset from the most stable computed form: 0 meV/atom

```
data_PmSmDyZn
_chemical_formula_sum 'Pm1 Sm1 Dy1 Zn1'
_space_group_name_H-M_alt 'P 4 m m'
_space_group_IT_number 99
_space_group_name_Hall 'P 4 -2'
_cell_length_a 3.615
_cell_length_b 3.615
_cell_length_c 8.727
_cell_angle_alpha 90.00
_cell_angle_beta 90.00
_cell_angle_gamma 90.00
loop_
_atom_site_label
_atom_site_fract_x
_atom_site_fract_y
_atom_site_fract_z
_atom_site_occupancy
Pm1 0.000 0.000 0.000 1
Sm1 0.500 0.500 0.701 1
Dy1 0.500 0.500 0.291 1
Zn1 0.000 0.000 0.487 1
```


VASP calculation (GGA-PBE) on a relaxed PmSmDyZn crystal.

- Offset from the most stable computed form: 237 meV/atom

```
data_PmSmDyZn
_chemical_formula_sum 'Pm4 Sm4 Dy4 Zn4'
_space_group_name_H-M_alt 'F -4 3 m'
_space_group_IT_number 216
_space_group_name_Hall 'F -4 2 3'
_cell_length_a 7.646
_cell_length_b 7.646
_cell_length_c 7.646
_cell_angle_alpha 90.00
_cell_angle_beta 90.00
_cell_angle_gamma 90.00
loop_
_atom_site_label
_atom_site_fract_x
_atom_site_fract_y
_atom_site_fract_z
_atom_site_occupancy
Pm1 0.000 0.000 0.000 1
Sm1 0.250 0.250 0.750 1
Dy1 0.250 0.250 0.250 1
Zn1 0.000 0.000 0.500 1
```


VASP calculation (GGA-PBE) on a relaxed Pm3DySn crystal.

- Total DFT energy (no corrections): -4.554 eV per atom

```
data_Pm3DySn
_chemical_formula_sum 'Pm12 Dy4 Sn4'
_space_group_name_H-M_alt 'C m c m'
_space_group_IT_number 63
_space_group_name_Hall '-C 2c 2'
_cell_length_a 9.238
_cell_length_b 13.001
_cell_length_c 5.871
_cell_angle_alpha 90.00
_cell_angle_beta 90.00
_cell_angle_gamma 90.00
loop_
_atom_site_label
_atom_site_fract_x
_atom_site_fract_y
_atom_site_fract_z
_atom_site_occupancy
Pm1 0.000 0.000 0.000 1
Pm2 0.165 0.308 0.250 1
Dy1 0.000 0.446 0.750 1
Sn1 0.000 0.216 0.750 1
```


VASP calculation (GGA-PBE) on a relaxed PmDy2Sn crystal.

- Offset from the most stable computed form: 209 meV/atom

```
data_PmDy2Sn
_chemical_formula_sum 'Pm4 Dy8 Sn4'
_space_group_name_H-M_alt 'F m -3 m'
_space_group_IT_number 225
_space_group_name_Hall '-F 4 2 3'
_cell_length_a 7.691
_cell_length_b 7.691
_cell_length_c 7.691
_cell_angle_alpha 90.00
_cell_angle_beta 90.00
_cell_angle_gamma 90.00
loop_
_atom_site_label
_atom_site_fract_x
_atom_site_fract_y
_atom_site_fract_z
_atom_site_occupancy
Pm1 0.000 0.000 0.000 1
Dy1 0.250 0.250 0.250 1
Sn1 0.000 0.000 0.500 1
```


VASP calculation (GGA-PBE) on a relaxed Pm3Dy2Sn4 crystal.

- Total DFT energy (no corrections): -4.986 eV per atom

```
data_Pm3Dy2Sn4
_chemical_formula_sum 'Pm6 Dy4 Sn8'
_space_group_name_H-M_alt 'C 1 2/m 1'
_space_group_IT_number 12
_space_group_name_Hall '-C 2y'
_cell_length_a 11.456
_cell_length_b 4.857
_cell_length_c 10.016
_cell_angle_alpha 90.00
_cell_angle_beta 96.61
_cell_angle_gamma 90.00
loop_
_atom_site_label
_atom_site_fract_x
_atom_site_fract_y
_atom_site_fract_z
_atom_site_occupancy
Pm1 0.000 0.000 0.000 1
Pm2 0.127 0.500 0.415 1
Dy1 0.179 0.500 0.807 1
Sn1 0.086 0.000 0.631 1
Sn2 0.154 0.500 0.111 1
```


VASP calculation (GGA-PBE) on a relaxed PmDy4Sn2 crystal.

- Total DFT energy (no corrections): -4.650 eV per atom

```
data_PmDy4Sn2
_chemical_formula_sum 'Pm3 Dy12 Sn6'
_space_group_name_H-M_alt 'R -3 m'
_space_group_IT_number 166
_space_group_name_Hall '-R 3 2"'
_cell_length_a 5.0669
_cell_length_b 5.0669
_cell_length_c 31.3013
_cell_angle_alpha 90.00
_cell_angle_beta 90.00
_cell_angle_gamma 120.00
loop_
_atom_site_label
_atom_site_fract_x
_atom_site_fract_y
_atom_site_fract_z
_atom_site_occupancy
Pm1 0.0000 0.0000 0.0000 1
Dy1 0.0000 0.0000 0.2026 1
Dy2 0.0000 0.0000 0.3919 1
Sn1 0.0000 0.0000 0.1013 1
```


VASP calculation (GGA-PBE) on a relaxed PmDySn4 crystal.

- Total DFT energy (no corrections): -4.628 eV per atom

```
data_PmDySn4
_chemical_formula_sum 'Pm1 Dy1 Sn4'
_space_group_name_H-M_alt 'P 4/m m m'
_space_group_IT_number 123
_space_group_name_Hall '-P 4 2'
_cell_length_a 4.394
_cell_length_b 4.394
_cell_length_c 9.728
_cell_angle_alpha 90.00
_cell_angle_beta 90.00
_cell_angle_gamma 90.00
loop_
_atom_site_label
_atom_site_fract_x
_atom_site_fract_y
_atom_site_fract_z
_atom_site_occupancy
Pm1 0.000 0.000 0.000 1
Dy1 0.500 0.500 0.500 1
Sn1 0.000 0.500 0.255 1
```


VASP calculation (GGA-PBE) on a relaxed Pm7DySn4 crystal.

- Total DFT energy (no corrections): -4.787 eV per atom

```
data_Pm7DySn4
_chemical_formula_sum 'Pm14 Dy2 Sn8'
_space_group_name_H-M_alt 'C 1 2/m 1'
_space_group_IT_number 12
_space_group_name_Hall '-C 2y'
_cell_length_a 14.198
_cell_length_b 5.843
_cell_length_c 11.085
_cell_angle_alpha 90.00
_cell_angle_beta 124.92
_cell_angle_gamma 90.00
loop_
_atom_site_label
_atom_site_fract_x
_atom_site_fract_y
_atom_site_fract_z
_atom_site_occupancy
Pm1 0.000 0.000 0.000 1
Pm2 0.059 0.500 0.372 1
Pm3 0.188 0.000 0.616 1
Pm4 0.209 0.500 0.888 1
Dy1 0.000 0.500 0.000 1
Sn1 0.064 0.000 0.764 1
Sn2 0.197 0.000 0.328 1
```


no.,M_tot (μB per atom)
1,0.0000
2,0.0004
3,0.0418
4,0.1154
5,0.0901
6,0.2476
7,0.0000
8,0.0000